First-principles (GGA-PBE) data for TeAsN2 after structural relaxation, as listed in Alexandria via LeMat-Bulk.

Structure (extended XYZ):
```
12
Lattice="3.164 0.000 0.000 -1.582 2.740 0.000 0.000 0.000 19.985" Properties=species:S:1:pos:R:3 pbc="T T T"
Te 0.000 0.000 0.000
Te 0.000 1.827 13.324
Te 1.582 0.913 6.662
As 0.000 0.000 9.993
As 0.000 1.827 3.331
As 1.582 0.913 16.655
N 0.000 0.000 2.291
N 0.000 0.000 17.694
N 0.000 1.827 11.032
N 0.000 1.827 15.615
N 1.582 0.913 4.370
N 1.582 0.913 8.953
```

## Properties
The density of states at the Fermi level comes out at 2.43 states/eV per cell. The value obtained for the total energy is -63.9 eV per cell.